No. 1
Below is an optimized crystal structure of RbNa2BeZn, with properties calculated at the PBE-GGA level.

a b c (Å): 5.7181 5.7181 4.5709
angles (deg): 90.00 90.00 90.00
Closest atoms and distances in Å follow each position.
Fractional coordinates of all 5 atoms:
Rb1 0.0000 0.0000 0.0000  8 Na 3.66, 4 Zn 4.04
Na1 0.0000 0.5000 0.5000  2 Be 2.86
Na2 0.5000 0.0000 0.5000  2 Be 2.86
Be1 0.5000 0.5000 0.5000  2 Zn 2.29
Zn1 0.5000 0.5000 0.0000  2 Be 2.29

Properties
Formation energy from the elements = 317.2 meV per atom



No. 2
Below is an optimized crystal structure of MnPd2Pb, with properties calculated at the PBE-GGA level.

a b c (Å): 9.7161 9.7161 9.7161
angles (deg): 155.85 155.85 34.41
Closest atoms and distances in Å follow each position.
Fractional coordinates of all 8 atoms:
Mn1 0.0000 0.0000 0.0000  4 Pd 2.71, 4 Pb 2.87
Mn2 0.7500 0.2500 0.5000  4 Pd 2.71, 4 Pb 2.87
Pd1 0.1095 0.6250 0.9845  2 Mn 2.71, 2 Pb 2.75, 4 Pd 2.79-2.96
Pd2 0.3750 0.3595 0.4845  2 Mn 2.71, 2 Pb 2.75, 4 Pd 2.79-2.96
Pd3 0.6405 0.1250 0.0155  2 Mn 2.71, 2 Pb 2.75, 4 Pd 2.79-2.96
Pd4 0.8750 0.8905 0.5155  2 Mn 2.71, 2 Pb 2.75, 4 Pd 2.79-2.96
Pb1 0.2500 0.7500 0.5000  4 Pd 2.75, 4 Mn 2.87
Pb2 0.5000 0.5000 0.0000  4 Pd 2.75, 4 Mn 2.87

Properties
Formation energy from the elements = 151.6 meV per atom



No. 3
Below is an optimized crystal structure of Co7Ge3, with properties calculated at the PBE-GGA level.

a b c (Å): 6.5923 6.5923 4.9854
angles (deg): 105.11 105.11 33.53
Closest atoms and distances in Å follow each position.
Fractional coordinates of all 10 atoms:
Co1 0.0000 0.0000 0.0000  4 Ge 2.33-2.49, 8 Co 2.59-2.60
Co2 0.2060 0.2060 0.6420  5 Ge 2.36-2.62, 5 Co 2.62-2.63
Co3 0.3836 0.3836 0.1294  3 Ge 2.41-2.46, 7 Co 2.48-2.63
Co4 0.4147 0.4147 0.6513  4 Ge 2.41-2.65, 8 Co 2.48-2.62
Co5 0.5853 0.5853 0.3487  4 Ge 2.41-2.65, 8 Co 2.48-2.62
Co6 0.6164 0.6164 0.8706  3 Ge 2.41-2.46, 7 Co 2.48-2.63
Co7 0.7940 0.7940 0.3580  5 Ge 2.36-2.62, 5 Co 2.62-2.63
Ge1 0.0000 0.0000 0.5000  8 Co 2.41-2.50
Ge2 0.1919 0.1919 0.1576  7 Co 2.33-2.46
Ge3 0.8081 0.8081 0.8424  7 Co 2.33-2.46

Properties
Formation energy from the elements = -94.9 meV per atom



No. 4
Below is an optimized crystal structure of BeAsPCl2, with properties calculated at the PBE-GGA level.

a b c (Å): 4.8333 4.8333 5.0645
angles (deg): 90.00 90.00 90.00
Closest atoms and distances in Å follow each position.
Fractional coordinates of all 5 atoms:
Be1 0.0000 0.0000 0.0000  4 P 3.42, 8 Cl 3.50
As1 0.5000 0.5000 0.5000  4 Cl 2.42, 2 P 2.53
P1 0.5000 0.5000 0.0000  2 As 2.53
Cl1 0.0000 0.5000 0.5000  2 As 2.42
Cl2 0.5000 0.0000 0.5000  2 As 2.42

Properties
Excess energy over the best structure of this formula in the dataset = 539 meV per atom



No. 5
Below is an optimized crystal structure of Sm2Ag2Hg, with properties calculated at the PBE-GGA level.

a b c (Å): 6.0145 6.0297 8.2152
angles (deg): 74.03 74.01 61.72
Closest atoms and distances in Å follow each position.
Fractional coordinates of all 10 atoms:
Sm1 0.0304 0.2874 0.3517  6 Ag 3.14-3.36, 3 Hg 3.21-3.41
Sm2 0.2871 0.0312 0.8525  6 Ag 3.14-3.35, 3 Hg 3.21-3.41
Sm3 0.7129 0.9688 0.1475  6 Ag 3.14-3.35, 3 Hg 3.21-3.41
Sm4 0.9696 0.7126 0.6483  6 Ag 3.14-3.36, 3 Hg 3.21-3.41
Ag1 0.2462 0.5020 0.9821  2 Ag 2.91-3.13, 2 Hg 2.94-2.96, 4 Sm 3.14-3.24
Ag2 0.4992 0.7540 0.5180  2 Ag 2.90-3.15, 2 Hg 2.94-2.97, 4 Sm 3.14-3.25
Ag3 0.5008 0.2460 0.4820  2 Ag 2.90-3.15, 2 Hg 2.94-2.97, 4 Sm 3.14-3.25
Ag4 0.7538 0.4980 0.0179  2 Ag 2.91-3.13, 2 Hg 2.94-2.96, 4 Sm 3.14-3.24
Hg1 0.2683 0.7311 0.2503  4 Ag 2.94-2.97, 4 Sm 3.21-3.27
Hg2 0.7317 0.2689 0.7497  4 Ag 2.94-2.97, 4 Sm 3.21-3.27

Properties
Formation energy from the elements = -290.5 meV per atom



No. 6
Below is an optimized crystal structure of La8HgPt6, with properties calculated at the PBE-GGA level.

a b c (Å): 10.9626 10.9626 4.4717
angles (deg): 90.00 90.00 120.00
Closest atoms and distances in Å follow each position.
Fractional coordinates of all 15 atoms:
La1 0.0265 0.6858 0.2581  4 Pt 2.92-3.08
La2 0.3142 0.3407 0.2581  4 Pt 2.92-3.08
La3 0.3333 0.6667 0.7507  6 Pt 2.99-3.01
La4 0.3407 0.0265 0.7419  4 Pt 2.92-3.08
La5 0.6593 0.9735 0.2581  4 Pt 2.92-3.08
La6 0.6667 0.3333 0.2493  6 Pt 2.99-3.01
La7 0.6858 0.6593 0.7419  4 Pt 2.92-3.08
La8 0.9735 0.3142 0.7419  4 Pt 2.92-3.08
Hg1 0.0000 0.0000 0.5000  6 La 3.76
Pt1 0.1492 0.4867 0.2472  6 La 2.92-3.08
Pt2 0.3375 0.8508 0.2472  6 La 2.92-3.08
Pt3 0.4867 0.3375 0.7528  6 La 2.92-3.08
Pt4 0.5133 0.6625 0.2472  6 La 2.92-3.08
Pt5 0.6625 0.1492 0.7528  6 La 2.92-3.08
Pt6 0.8508 0.5133 0.7528  6 La 2.92-3.08

Properties
Formation energy from the elements = -928.2 meV per atom



No. 7
Below is an optimized crystal structure of BaYPuN3, with properties calculated at the PBE-GGA level.

a b c (Å): 7.9447 3.7162 9.2322
angles (deg): 90.00 101.70 90.00
Closest atoms and distances in Å follow each position.
Fractional coordinates of all 12 atoms:
Ba1 0.1940 0.2500 0.1593  3 N 2.69-2.89
Ba2 0.8060 0.7500 0.8407  3 N 2.69-2.89
Y1 0.3757 0.7500 0.8651  4 N 2.28-2.48
Y2 0.6243 0.2500 0.1349  4 N 2.28-2.48
Pu1 0.0876 0.2500 0.6185  3 N 2.01-2.12
Pu2 0.9124 0.7500 0.3815  3 N 2.01-2.12
N1 0.1397 0.2500 0.8406  1 Pu 2.01
N2 0.2120 0.7500 0.6062  2 Pu 2.12
N3 0.4235 0.7500 0.1168  3 Y 2.28-2.43
N4 0.5765 0.2500 0.8832  3 Y 2.28-2.43
N5 0.7880 0.2500 0.3938  2 Pu 2.12
N6 0.8603 0.7500 0.1594  1 Pu 2.01

Properties
VASP energy = -8.77 eV per atom



No. 8
Below is an optimized crystal structure of HgOs3, with properties calculated at the PBE-GGA level.

a b c (Å): 5.7719 5.7719 5.7719
angles (deg): 152.29 132.24 56.11
Closest atoms and distances in Å follow each position.
Fractional coordinates of all 4 atoms:
Hg1 0.0000 0.0000 0.0000  4 Os 2.71, 2 Hg 2.76
Os1 0.2807 0.7807 0.5000  8 Os 2.63-2.79
Os2 0.5000 0.5000 0.0000  6 Os 2.63-2.76, 4 Hg 2.71
Os3 0.7193 0.2193 0.5000  8 Os 2.63-2.79

Properties
Excess energy over the best structure of this formula in the dataset = 470 meV per atom
Formation energy from the elements = 862.5 meV per atom



No. 9
Below is an optimized crystal structure of NaTl2CuHg, with properties calculated at the PBE-GGA level.

a b c (Å): 5.1176 5.1176 5.6141
angles (deg): 90.00 90.00 90.00
Closest atoms and distances in Å follow each position.
Fractional coordinates of all 5 atoms:
Na1 0.0000 0.0000 0.0000  2 Cu 2.81
Tl1 0.0000 0.5000 0.5000  2 Cu 2.56
Tl2 0.5000 0.0000 0.5000  2 Cu 2.56
Cu1 0.0000 0.0000 0.5000  4 Tl 2.56, 2 Na 2.81
Hg1 0.5000 0.5000 0.0000  4 Na 3.62, 8 Tl 3.80

Properties
Excess energy over the best structure of this formula in the dataset = 38 meV per atom
Formation energy from the elements = 115.3 meV per atom



No. 10
Below is an optimized crystal structure of K2LiP, with properties calculated at the PBE-GGA level.

a b c (Å): 11.5005 11.5005 11.5005
angles (deg): 19.86 19.86 19.86
Closest atoms and distances in Å follow each position.
Fractional coordinates of all 4 atoms:
K1 0.2309 0.2309 0.2309  3 P 3.16
K2 0.7691 0.7691 0.7691  3 P 3.16
Li1 0.0000 0.0000 0.0000  6 Li 3.97, 6 K 4.15
P1 0.5000 0.5000 0.5000  6 K 3.16

Properties
Formation energy from the elements = 275.9 meV per atom



No. 11
Below is an optimized crystal structure of Ti2NbSb2, with properties calculated at the PBE-GGA level.

a b c (Å): 7.3715 7.3715 3.6183
angles (deg): 90.00 90.00 90.00
Closest atoms and distances in Å follow each position.
Fractional coordinates of all 10 atoms:
Ti1 0.1486 0.3514 0.0000  6 Sb 2.78-2.84, 1 Ti 3.10
Ti2 0.3514 0.8514 0.0000  6 Sb 2.78-2.84, 1 Ti 3.10
Ti3 0.6486 0.1486 0.0000  6 Sb 2.78-2.84, 1 Ti 3.10
Ti4 0.8514 0.6486 0.0000  6 Sb 2.78-2.84, 1 Ti 3.10
Nb1 0.0000 0.0000 0.5000  4 Sb 2.81
Nb2 0.5000 0.5000 0.5000  4 Sb 2.81
Sb1 0.1490 0.6490 0.5000  6 Ti 2.78-2.84, 2 Nb 2.81, 1 Sb 3.11
Sb2 0.3510 0.1490 0.5000  6 Ti 2.78-2.84, 2 Nb 2.81, 1 Sb 3.11
Sb3 0.6490 0.8510 0.5000  6 Ti 2.78-2.84, 2 Nb 2.81, 1 Sb 3.11
Sb4 0.8510 0.3510 0.5000  6 Ti 2.78-2.84, 2 Nb 2.81, 1 Sb 3.11

Properties
Excess energy over the best structure of this formula in the dataset = 80 meV per atom



No. 12
Below is an optimized crystal structure of Sr2SbRu, with properties calculated at the PBE-GGA level.

a b c (Å): 4.4694 6.1879 6.1879
angles (deg): 46.41 90.00 90.00
Closest atoms and distances in Å follow each position.
Fractional coordinates of all 4 atoms:
Sr1 0.0000 0.0000 0.0000  3 Ru 3.36-3.38, 4 Sb 3.45
Sr2 0.5000 0.2838 0.2838  3 Sb 3.32-3.44, 4 Ru 3.43
Sb1 0.5000 0.5858 0.5858  2 Ru 2.60
Ru1 0.0000 0.7026 0.7026  2 Sb 2.60

Properties
VASP energy = -4.47 eV per atom



No. 13
Below is an optimized crystal structure of Li4ErPd2, with properties calculated at the PBE-GGA level.

a b c (Å): 7.6495 7.6495 4.1104
angles (deg): 90.00 90.00 90.00
Closest atoms and distances in Å follow each position.
Fractional coordinates of all 14 atoms:
Li1 0.0991 0.3468 0.0000  3 Pd 2.56-2.58, 6 Li 2.68-2.85
Li2 0.1532 0.5991 0.5000  3 Pd 2.56-2.58, 6 Li 2.68-2.85
Li3 0.3468 0.0991 0.0000  3 Pd 2.56-2.58, 6 Li 2.68-2.85
Li4 0.4009 0.8468 0.5000  3 Pd 2.56-2.58, 6 Li 2.68-2.85
Li5 0.5991 0.1532 0.5000  3 Pd 2.56-2.58, 6 Li 2.68-2.85
Li6 0.6532 0.9009 0.0000  3 Pd 2.56-2.58, 6 Li 2.68-2.85
Li7 0.8468 0.4009 0.5000  3 Pd 2.56-2.58, 6 Li 2.68-2.85
Li8 0.9009 0.6532 0.0000  3 Pd 2.56-2.58, 6 Li 2.68-2.85
Er1 0.0000 0.0000 0.5000  6 Pd 3.00-3.22, 4 Li 3.28
Er2 0.5000 0.5000 0.0000  6 Pd 3.00-3.22, 4 Li 3.28
Pd1 0.2022 0.7978 0.0000  6 Li 2.56-2.58
Pd2 0.2978 0.2978 0.5000  6 Li 2.56-2.58
Pd3 0.7022 0.7022 0.5000  6 Li 2.56-2.58
Pd4 0.7978 0.2022 0.0000  6 Li 2.56-2.58

Properties
Excess energy over the best structure of this formula in the dataset = 0 meV per atom
Formation energy from the elements = -405.0 meV per atom



No. 14
Below is an optimized crystal structure of Li2SmY2In2, with properties calculated at the PBE-GGA level.

a b c (Å): 9.3561 9.3561 9.3561
angles (deg): 30.23 30.23 30.23
Closest atoms and distances in Å follow each position.
Fractional coordinates of all 7 atoms:
Li1 0.1005 0.1005 0.1005  3 In 2.82
Li2 0.8995 0.8995 0.8995  3 In 2.82
Sm1 0.5000 0.5000 0.5000  6 Li 3.33, 2 Y 3.42, 6 In 3.42
Y1 0.3722 0.3722 0.3722  4 In 3.18-3.56, 3 Li 3.26, 1 Sm 3.42, 3 Y 3.50
Y2 0.6278 0.6278 0.6278  4 In 3.18-3.56, 3 Li 3.26, 1 Sm 3.42, 3 Y 3.50
In1 0.2393 0.2393 0.2393  3 Li 2.82
In2 0.7607 0.7607 0.7607  3 Li 2.82

Properties
Formation energy from the elements = -244.9 meV per atom



No. 15
Below is an optimized crystal structure of Tl2SbIr, with properties calculated at the PBE-GGA level.

a b c (Å): 7.9797 7.9797 7.9797
angles (deg): 132.46 132.46 69.50
Closest atoms and distances in Å follow each position.
Fractional coordinates of all 8 atoms:
Tl1 0.0855 0.6250 0.9605  2 Ir 2.67, 2 Sb 2.96
Tl2 0.3750 0.3355 0.4605  2 Ir 2.67, 2 Sb 2.96
Tl3 0.6645 0.1250 0.0395  2 Ir 2.67, 2 Sb 2.96
Tl4 0.8750 0.9145 0.5395  2 Ir 2.67, 2 Sb 2.96
Sb1 0.2500 0.7500 0.5000  4 Tl 2.96
Sb2 0.5000 0.5000 0.0000  4 Tl 2.96
Ir1 0.0000 0.0000 0.0000  4 Tl 2.67
Ir2 0.7500 0.2500 0.5000  4 Tl 2.67

Properties
Excess energy over the best structure of this formula in the dataset = 671 meV per atom



No. 16
Below is an optimized crystal structure of CaTb2Pr, with properties calculated at the PBE-GGA level.

a b c (Å): 12.2534 12.2534 6.5405
angles (deg): 94.20 94.20 16.63
Closest atoms and distances in Å follow each position.
Fractional coordinates of all 8 atoms:
Ca1 0.0013 0.0013 0.2491  4 Ca 3.25-3.54, 2 Tb 3.63-3.64
Ca2 0.9987 0.9987 0.7509  4 Ca 3.25-3.54, 2 Tb 3.63-3.64
Tb1 0.1340 0.1340 0.5453  3 Pr 3.49-3.55, 6 Tb 3.54-3.77, 2 Ca 3.63-3.64
Tb2 0.3754 0.3754 0.9646  6 Tb 3.54-3.77, 3 Pr 3.66-3.72, 4 Ca 3.83-3.88
Tb3 0.6246 0.6246 0.0354  6 Tb 3.54-3.77, 3 Pr 3.66-3.72, 4 Ca 3.83-3.88
Tb4 0.8660 0.8660 0.4547  3 Pr 3.49-3.55, 6 Tb 3.54-3.77, 2 Ca 3.63-3.64
Pr1 0.2480 0.2480 0.2482  6 Tb 3.49-3.72, 6 Pr 3.54-3.74
Pr2 0.7520 0.7520 0.7518  6 Tb 3.49-3.72, 6 Pr 3.54-3.74

Properties
Excess energy over the best structure of this formula in the dataset = 58 meV per atom
Formation energy from the elements = 117.5 meV per atom



No. 17
Below is an optimized crystal structure of SmGdSn, with properties calculated at the PBE-GGA level.

a b c (Å): 5.2185 5.2185 5.2185
angles (deg): 60.00 60.00 60.00
Closest atoms and distances in Å follow each position.
Fractional coordinates of all 3 atoms:
Sm1 0.0000 0.0000 0.0000  4 Sn 3.20
Gd1 0.5000 0.5000 0.5000  4 Sn 3.20
Sn1 0.7500 0.7500 0.7500  4 Gd 3.20, 4 Sm 3.20

Properties
Excess energy over the best structure of this formula in the dataset = 65 meV per atom
Formation energy from the elements = -430.7 meV per atom



No. 18
Below is an optimized crystal structure of BeReHg, with properties calculated at the PBE-GGA level.

a b c (Å): 4.3214 4.3214 4.3214
angles (deg): 60.00 60.00 60.00
Closest atoms and distances in Å follow each position.
Fractional coordinates of all 3 atoms:
Be1 0.0000 0.0000 0.0000  4 Re 2.65
Re1 0.2500 0.2500 0.2500  4 Hg 2.65, 4 Be 2.65
Hg1 0.5000 0.5000 0.5000  4 Re 2.65

Properties
Excess energy over the best structure of this formula in the dataset = 833 meV per atom
Formation energy from the elements = 1415.0 meV per atom



No. 19
Below is an optimized crystal structure of DyBeAs2, with properties calculated at the PBE-GGA level.

a b c (Å): 7.7943 7.7943 7.7943
angles (deg): 30.91 30.91 30.91
Closest atoms and distances in Å follow each position.
Fractional coordinates of all 4 atoms:
Dy1 0.0000 0.0000 0.0000  6 As 2.90
Be1 0.5000 0.5000 0.5000  2 As 2.08
As1 0.4065 0.4065 0.4065  1 Be 2.08
As2 0.5935 0.5935 0.5935  1 Be 2.08

Properties
Excess energy over the best structure of this formula in the dataset = 389 meV per atom
Formation energy from the elements = -270.6 meV per atom



No. 20
Below is an optimized crystal structure of V2Ni4Pd, with properties calculated at the PBE-GGA level.

a b c (Å): 4.6393 6.1503 6.4736
angles (deg): 86.49 69.73 84.71
Closest atoms and distances in Å follow each position.
Fractional coordinates of all 14 atoms:
V1 0.0000 0.0000 0.0000  2 V 2.41-2.57, 4 Ni 2.43-2.55, 1 Pd 2.44
V2 0.1111 0.5240 0.8711  8 Ni 2.38-2.62, 1 Pd 2.56
V3 0.5163 0.1126 0.9003  7 Ni 2.38-2.58, 2 V 2.41-2.57
V4 0.7223 0.1475 0.4485  8 Ni 2.39-2.62
Ni1 0.1230 0.1905 0.6432  4 V 2.43-2.62, 4 Ni 2.43-2.47, 1 Pd 2.51
Ni2 0.1449 0.3309 0.1991  3 Ni 2.38-2.44, 3 V 2.39-2.47, 2 Pd 2.53-2.59
Ni3 0.3455 0.9770 0.3064  5 Ni 2.44-2.69, 2 V 2.56-2.58
Ni4 0.4163 0.8453 0.6665  6 Ni 2.31-2.58, 4 V 2.48-2.56, 1 Pd 2.56
Ni5 0.4849 0.7054 0.0150  5 Ni 2.47-2.54, 2 V 2.57-2.59
Ni6 0.6848 0.3415 0.1125  3 Ni 2.38-2.47, 4 V 2.38-2.47, 1 Pd 2.54
Ni7 0.6960 0.4673 0.6930  4 Ni 2.44-2.58, 4 V 2.54-2.62, 1 Pd 2.69
Ni8 0.9110 0.8375 0.6766  5 Ni 2.31-2.55, 3 V 2.49-2.55
Pd1 0.3267 0.5402 0.4498  8 Ni 2.51-2.80, 1 V 2.56, 2 Pd 2.69-2.76
Pd2 0.8715 0.7177 0.2913  1 V 2.44, 3 Ni 2.59-2.71, 1 Pd 2.69

Properties
Excess energy over the best structure of this formula in the dataset = 0 meV per atom
Formation energy from the elements = -92.4 meV per atom